Computed, not measured: a geometry-optimized BaAg2P structure at the GGA-PBEsol level of DFT.

formation energy: -0.049 eV/atom
D(E_F): 2.094 states/eV per cell
electronic total energy: -3.69 eV per atom

a = 3.517 Å, b = 3.517 Å, c = 7.236 Å
α = 90.00°, β = 90.00°, γ = 90.00°
Element x y z (fractional)
Ba 0.000 0.000 0.000
Ag 0.000 0.000 0.463
Ag 0.500 0.500 0.663
P 0.500 0.500 0.306

=====

Computed, not measured: a geometry-optimized BiIrO3 structure at the GGA-PBEsol level of DFT.

D(E_F): 5.670 states/eV per cell
formation energy from raw total energies: 0.678 eV/atom
electronic total energy: -5.29 eV per atom

a = 4.193 Å, b = 4.193 Å, c = 4.193 Å
α = 90.00°, β = 90.00°, γ = 90.00°
Element x y z (fractional)
Bi 0.000 0.000 0.000
Ir 0.500 0.500 0.500
O 0.000 0.000 0.500
O 0.000 0.500 0.000
O 0.500 0.000 0.000

=====

Computed, not measured: a geometry-optimized GaHPd3 structure at the GGA-PBEsol level of DFT.

D(E_F): 0.799 states/eV per cell
energy above the lowest structure with this stoichiometry: 8 meV per atom
electronic total energy: -5.39 eV per atom

a = 3.913 Å, b = 3.913 Å, c = 3.913 Å
α = 90.00°, β = 90.00°, γ = 90.00°
Element x y z (fractional)
Ga 0.000 0.000 0.000
H 0.500 0.500 0.500
Pd 0.000 0.500 0.500
Pd 0.500 0.000 0.500
Pd 0.500 0.500 0.000

=====

Computed, not measured: a geometry-optimized TbCd2 structure at the GGA-PBEsol level of DFT.

formation energy: -0.358 eV/atom
D(E_F): 2.382 states/eV per cell
electronic total energy: -2.83 eV per atom

a = 4.883 Å, b = 4.883 Å, c = 3.365 Å
α = 90.00°, β = 90.00°, γ = 120.00°
Element x y z (fractional)
Tb 0.000 0.000 0.000
Cd 0.333 0.667 0.500
Cd 0.667 0.333 0.500

=====

Computed, not measured: a geometry-optimized CdFe2Au structure at the GGA-PBEsol level of DFT.

formation energy: 0.229 eV/atom
D(E_F): 2.614 states/eV per cell
electronic total energy: -5.53 eV per atom

a = 5.174 Å, b = 5.174 Å, c = 5.174 Å
α = 146.85°, β = 128.20°, γ = 62.89°
Element x y z (fractional)
Cd 0.000 0.000 0.000
Fe 0.267 0.767 0.500
Fe 0.470 0.470 0.000
Au 0.724 0.224 0.500

=====

Computed, not measured: a geometry-optimized Be2InP structure at the GGA-PBEsol level of DFT.

formation energy: 0.405 eV/atom
D(E_F): 1.679 states/eV per cell
energy above the lowest structure with this stoichiometry: 228 meV per atom
electronic total energy: -3.79 eV per atom

a = 3.063 Å, b = 3.063 Å, c = 6.032 Å
α = 90.00°, β = 90.00°, γ = 90.00°
Element x y z (fractional)
Be 0.000 0.000 0.170
Be 0.000 0.000 0.830
In 0.500 0.500 0.500
P 0.500 0.500 0.000

=====

Computed, not measured: a geometry-optimized Be2AsPt structure at the GGA-PBEsol level of DFT.

formation energy: -0.073 eV/atom
D(E_F): 1.477 states/eV per cell
electronic total energy: -5.09 eV per atom

a = 3.859 Å, b = 3.859 Å, c = 3.302 Å
α = 90.00°, β = 90.00°, γ = 90.00°
Element x y z (fractional)
Be 0.000 0.500 0.000
Be 0.500 0.000 0.000
As 0.000 0.000 0.500
Pt 0.500 0.500 0.500

=====

Computed, not measured: a geometry-optimized Sc2NbCo structure at the GGA-PBEsol level of DFT.

formation energy: 0.208 eV/atom
D(E_F): 4.015 states/eV per cell
energy above the lowest structure with this stoichiometry: 0 meV per atom
electronic total energy: -7.73 eV per atom

a = 4.609 Å, b = 4.609 Å, c = 4.609 Å
α = 60.00°, β = 60.00°, γ = 60.00°
Element x y z (fractional)
Sc 0.250 0.250 0.250
Sc 0.750 0.750 0.750
Nb 0.000 0.000 0.000
Co 0.500 0.500 0.500

=====

Computed, not measured: a geometry-optimized KOs2Au structure at the GGA-PBEsol level of DFT.

formation energy: 1.368 eV/atom
D(E_F): 4.319 states/eV per cell
energy above the lowest structure with this stoichiometry: 0 meV per atom
electronic total energy: -6.00 eV per atom

a = 5.349 Å, b = 5.349 Å, c = 5.349 Å
α = 140.57°, β = 123.23°, γ = 71.31°
Element x y z (fractional)
K 0.000 0.000 0.000
Os 0.296 0.796 0.500
Os 0.467 0.467 0.000
Au 0.707 0.207 0.500

=====

Computed, not measured: a geometry-optimized Tl2SiBr structure at the GGA-PBEsol level of DFT.

D(E_F): 2.318 states/eV per cell
formation energy from raw total energies: 0.115 eV/atom
energy above the lowest structure with this stoichiometry: 0 meV per atom
electronic total energy: -3.10 eV per atom

a = 3.534 Å, b = 3.534 Å, c = 7.996 Å
α = 90.00°, β = 90.00°, γ = 90.96°
Element x y z (fractional)
Tl 0.000 0.000 0.232
Tl 0.000 0.000 0.768
Si 0.500 0.500 0.000
Br 0.500 0.500 0.500

=====

Computed, not measured: a geometry-optimized BeBiSeN2 structure at the GGA-PBEsol level of DFT.

D(E_F): 4.034 states/eV per cell
formation energy from raw total energies: 1.807 eV/atom
electronic total energy: -4.03 eV per atom

a = 4.159 Å, b = 4.159 Å, c = 5.845 Å
α = 90.00°, β = 90.00°, γ = 90.00°
Element x y z (fractional)
Be 0.000 0.000 0.000
Bi 0.500 0.500 0.500
Se 0.500 0.500 0.000
N 0.000 0.500 0.500
N 0.500 0.000 0.500

=====

Computed, not measured: a geometry-optimized FeCoW2 structure at the GGA-PBEsol level of DFT.

formation energy: 0.084 eV/atom
D(E_F): 4.614 states/eV per cell
energy above the lowest structure with this stoichiometry: 0 meV per atom
electronic total energy: -10.99 eV per atom

a = 2.678 Å, b = 3.582 Å, c = 5.326 Å
α = 90.00°, β = 90.00°, γ = 90.00°
Element x y z (fractional)
Fe 0.000 0.000 0.000
Co 0.000 0.000 0.500
W 0.500 0.500 0.248
W 0.500 0.500 0.752

=====

Computed, not measured: a geometry-optimized ZrIrW structure at the GGA-PBEsol level of DFT.

formation energy: 1.025 eV/atom
D(E_F): 3.470 states/eV per cell
electronic total energy: -9.88 eV per atom

a = 4.368 Å, b = 4.368 Å, c = 4.368 Å
α = 60.00°, β = 60.00°, γ = 60.00°
Element x y z (fractional)
Zr 0.000 0.000 0.000
Ir 0.250 0.250 0.250
W 0.750 0.750 0.750

=====

Computed, not measured: a geometry-optimized WAu3Cl structure at the GGA-PBEsol level of DFT.

D(E_F): 3.677 states/eV per cell
formation energy from raw total energies: 1.380 eV/atom
energy above the lowest structure with this stoichiometry: 0 meV per atom
electronic total energy: -4.14 eV per atom

a = 4.983 Å, b = 4.983 Å, c = 4.983 Å
α = 90.00°, β = 90.00°, γ = 90.00°
Element x y z (fractional)
W 0.000 0.000 0.000
Au 0.000 0.000 0.500
Au 0.000 0.500 0.000
Au 0.500 0.000 0.000
Cl 0.500 0.500 0.500